Record 1
# CsBa5Ir

A geometry-optimized CsBa5Ir structure (GGA-PBE, the Alexandria database).

Computed properties:
**Crystal system**: monoclinic
**Formation enthalpy at 0 K**: 62 meV/atom

Cell and atoms, written as CIF:
```
data_CsBa5Ir
_chemical_formula_sum 'Cs4 Ba20 Ir4'
_symmetry_space_group_name_H-M 'C 1 2/c 1'
_symmetry_Int_Tables_number 15
_cell_length_a 17.291
_cell_length_b 12.754
_cell_length_c 11.978
_cell_angle_alpha 90.00
_cell_angle_beta 133.73
_cell_angle_gamma 90.00
loop_
_symmetry_equiv_pos_as_xyz
'x,y,z'
'-x,-y,-z'
'-x,y,-z+1/2'
'x,-y,z+1/2'
'x+1/2,y+1/2,z'
'-x+1/2,-y+1/2,-z'
'-x+1/2,y+1/2,-z+1/2'
'x+1/2,-y+1/2,z+1/2'
loop_
_atom_site_label
_atom_site_type_symbol
_atom_site_fract_x
_atom_site_fract_y
_atom_site_fract_z
_atom_site_occupancy
Cs1 Cs 0.000 0.173 0.250 1
Ba1 Ba 0.000 0.178 0.750 1
Ba2 Ba 0.177 0.475 0.928 1
Ba3 Ba 0.250 0.249 0.247 1
Ir1 Ir 0.250 0.250 0.000 1
```

---

Record 2
# La3Nd2Ge4

A geometry-optimized La3Nd2Ge4 structure (GGA-PBE, the Alexandria database).

Computed properties:
**Crystal system**: monoclinic
**Formation enthalpy at 0 K**: -822 meV/atom

Cell and atoms, written as CIF:
```
data_La3Nd2Ge4
_chemical_formula_sum 'La6 Nd4 Ge8'
_symmetry_space_group_name_H-M 'P 1 21/c 1'
_symmetry_Int_Tables_number 14
_cell_length_a 8.349
_cell_length_b 8.169
_cell_length_c 8.010
_cell_angle_alpha 90.00
_cell_angle_beta 112.42
_cell_angle_gamma 90.00
loop_
_symmetry_equiv_pos_as_xyz
'x,y,z'
'-x,-y,-z'
'-x,y+1/2,-z+1/2'
'x,-y+1/2,z+1/2'
loop_
_atom_site_label
_atom_site_type_symbol
_atom_site_fract_x
_atom_site_fract_y
_atom_site_fract_z
_atom_site_occupancy
La1 La 0.000 0.000 0.000 1
La2 La 0.298 0.182 0.434 1
Nd1 Nd 0.269 0.663 0.279 1
Ge1 Ge 0.004 0.122 0.617 1
Ge2 Ge 0.413 0.535 0.680 1
```

---

Record 3
# GaReHg3

A geometry-optimized GaReHg3 structure (GGA-PBE, the Alexandria database).

Computed properties:
**Offset from the most stable computed form**: 440 meV per atom
**Crystal system**: cubic
**Formation enthalpy at 0 K**: 1351 meV/atom

Cell and atoms, written as CIF:
```
data_GaReHg3
_chemical_formula_sum 'Ga1 Re1 Hg3'
_symmetry_space_group_name_H-M 'P m -3 m'
_symmetry_Int_Tables_number 221
_symmetry_space_group_name_Hall '-P 4 2 3'
_cell_length_a 5.191
_cell_length_b 5.191
_cell_length_c 5.191
_cell_angle_alpha 90.00
_cell_angle_beta 90.00
_cell_angle_gamma 90.00
loop_
_atom_site_label
_atom_site_type_symbol
_atom_site_fract_x
_atom_site_fract_y
_atom_site_fract_z
_atom_site_occupancy
Ga1 Ga 0.000 0.000 0.000 1
Re1 Re 0.500 0.500 0.500 1
Hg1 Hg 0.000 0.000 0.500 1
```

---

Record 4
# Cs4YTm3Te8

A geometry-optimized Cs4YTm3Te8 structure (GGA-PBE, the Alexandria database).

Computed properties:
**Crystal system**: trigonal
**Formation energy from raw total energies**: -21.9 eV/f.u.

Cell and atoms, written as CIF:
```
data_Cs4YTm3Te8
_chemical_formula_sum 'Cs12 Y3 Tm9 Te24'
_symmetry_space_group_name_H-M 'R -3 m'
_symmetry_Int_Tables_number 166
_symmetry_space_group_name_Hall '-R 3 2"'
_cell_length_a 9.0450
_cell_length_b 9.0450
_cell_length_c 26.7274
_cell_angle_alpha 90.00
_cell_angle_beta 90.00
_cell_angle_gamma 120.00
loop_
_atom_site_label
_atom_site_type_symbol
_atom_site_fract_x
_atom_site_fract_y
_atom_site_fract_z
_atom_site_occupancy
Cs1 Cs 0.0000 0.0000 0.0000 1
Cs2 Cs 0.0000 0.5000 0.0000 1
Y1 Y 0.0000 0.0000 0.5000 1
Tm1 Tm 0.0000 0.5000 0.5000 1
Te1 Te 0.0000 0.0000 0.2290 1
Te2 Te 0.0028 0.5014 0.7706 1
```